(1)
Density functional theory data (PBE-GGA) for Pm2Nd7Ho4 after structural relaxation.

The total energy is -4.693 eV per atom. The volume is 439.3 Å³/cell. The formation energy comes out at 0.3 kcal/mol of atoms.

The space group is P-1 (No. 2) and the conventional cell measures 6.279, 8.112 and 9.606 Å, with angles of 65.04, 83.93 and 82.76 degrees. Symmetry generates all atoms from Pm at (0.155, 0.192, 0.384), Nd at (0.000, 0.500, 0.000), Nd at (0.075, 0.346, 0.694), Nd at (0.232, 0.039, 0.077), Nd at (0.387, 0.732, 0.462), Ho at (0.307, 0.882, 0.771) and Ho at (0.462, 0.575, 0.152).



(2)
Density functional theory data (PBE-GGA) for Tb8CS6 after structural relaxation.

The total energy is -5.921 eV per atom. The uncorrected formation energy is -1.1855 eV per atom. The volume is 334.7 Å³/cell.

The space group is P-3 (No. 147) and the conventional cell measures 9.8095, 9.8095 and 4.0162 Å, with angles of 90.00, 90.00 and 120.00 degrees. Symmetry generates all atoms from Tb at (0.0260, 0.3004, 0.2631), Tb at (0.3333, 0.6667, 0.7456), C at (0.0000, 0.0000, 0.5000) and S at (0.1291, 0.6521, 0.2454).



(3)
Density functional theory data (PBE-GGA) for Ba2CdIn4Ag3 after structural relaxation.

The total energy is -2.726 eV per atom. The volume is 280.9 Å³/cell. The formation energy comes out at -6.9 kcal/mol of atoms.

The space group is P-4m2 (No. 115) and the conventional cell measures 4.859, 4.859 and 11.897 Å, with angles of 90.00, 90.00 and 90.00 degrees. Symmetry generates all atoms from Ba at (0.000, 0.500, 0.249), Cd at (0.500, 0.500, 0.000), In at (0.000, 0.000, 0.500), In at (0.000, 0.500, 0.867), In at (0.500, 0.500, 0.500), Ag at (0.000, 0.000, 0.000) and Ag at (0.000, 0.500, 0.631).



(4)
Density functional theory data (PBE-GGA) for LaScPt2 after structural relaxation.

The total energy is -6.965 eV per atom. The volume is 177.9 Å³/cell. The formation energy comes out at -26.1 kcal/mol of atoms.

The space group is Amm2 (No. 38) and the conventional cell measures 4.487, 3.753 and 10.565 Å, with angles of 90.00, 90.00 and 90.00 degrees. Symmetry generates all atoms from La at (0.000, 0.000, 0.000), Sc at (0.500, 0.000, 0.276), Pt at (0.000, 0.000, 0.732) and Pt at (0.500, 0.000, 0.556).



(5)
Density functional theory data (PBE-GGA) for SmCdAg3 after structural relaxation.

The total energy is -3.045 eV per atom. The volume is 212.5 Å³/cell. The formation energy comes out at -4.8 kcal/mol of atoms. The distance to the lowest polymorph of the same formula is 0 meV per atom.

The space group is P-1 (No. 2) and the conventional cell measures 5.095, 5.232 and 8.361 Å, with angles of 107.60, 90.00 and 90.24 degrees. Symmetry generates all atoms from Sm at (0.249, 0.412, 0.200), Cd at (0.249, 0.174, 0.789), Ag at (0.250, 0.030, 0.421), Ag at (0.251, 0.608, 0.591) and Ag at (0.252, 0.818, 0.004).



(6)
Density functional theory data (PBE-GGA) for CeBi3Se6 after structural relaxation.

The total energy is -4.587 eV per atom. The uncorrected formation energy is -0.7386 eV per atom. The volume is 601.0 Å³/cell.

The space group is P2_1/m (No. 11) and the conventional cell measures 12.260, 4.187 and 12.296 Å, with angles of 90.00, 107.80 and 90.00 degrees. Symmetry generates all atoms from Ce at (0.189, 0.250, 0.040), Bi at (0.028, 0.750, 0.304), Bi at (0.339, 0.250, 0.437), Bi at (0.403, 0.750, 0.849), Se at (0.035, 0.750, 0.895), Se at (0.117, 0.250, 0.468), Se at (0.229, 0.750, 0.240), Se at (0.243, 0.250, 0.805), Se at (0.390, 0.750, 0.073) and Se at (0.421, 0.750, 0.597).



(7)
Density functional theory data (PBE-GGA) for RbInSi after structural relaxation.

The total energy is -2.864 eV per atom. The uncorrected formation energy is 0.1795 eV per atom. The volume is 389.1 Å³/cell.

The space group is Pnma (No. 62) and the conventional cell measures 13.496, 6.794 and 4.244 Å, with angles of 90.00, 90.00 and 90.00 degrees. Symmetry generates all atoms from Rb at (0.208, 0.250, 0.047), In at (0.000, 0.000, 0.500) and Si at (0.071, 0.750, 0.074).



(8)
Density functional theory data (PBE-GGA) for PmTmTe2 after structural relaxation.

The total energy is -5.040 eV per atom. The uncorrected formation energy is -1.1638 eV per atom. The volume is 441.0 Å³/cell. The distance to the lowest polymorph of the same formula is 167 meV per atom.

The space group is Fm-3m (No. 225) and the conventional cell measures 7.611, 7.611 and 7.611 Å, with angles of 90.00, 90.00 and 90.00 degrees. Symmetry generates all atoms from Pm at (0.000, 0.000, 0.000), Tm at (0.000, 0.000, 0.500) and Te at (0.250, 0.250, 0.250).



| no. | D(E_F) (states/eV per cell) |
| --- | --- |
| 1 | 17.716 |
| 2 | 9.128 |
| 3 | 4.974 |
| 4 | 6.528 |
| 5 | 4.694 |
| 6 | 15.198 |
| 7 | 2.441 |
| 8 | 11.757 |